1.
{"formula": "Zn2PCl", "functional": "PBE", "state": "relaxed", "density_g_cm3": 4.1, "polymorph_energy_mev_per_atom": 283.9, "space_group": "P4mm, No. 99", "e_tot_ev_per_cell": -10.78, "raw_formation_energy_mev_per_atom": -245, "cell": [[-1.8547, 1.6885, -2.4893], [-2.6745, -2.2641, 0.4569], [-2.5145, 3.8794, 4.5048]], "species": ["P", "Zn", "Cl", "Zn"], "fractional_positions": [[0.5000, 0.5000, 0.9133], [0.5000, 0.5000, 0.2689], [0.0000, 0.0000, 0.4282], [0.0000, 0.0000, 0.8896]]}

2.
{"formula": "Th6Ru2AuSe3", "functional": "PBE", "state": "relaxed", "density_g_cm3": 10.2, "space_group": "C2/m, No. 12", "e_tot_ev_per_cell": -89.51, "raw_formation_energy_mev_per_atom": -1059, "cell": [[7.1924, 0.0003, -0.0010], [-3.5942, 6.2300, -0.0010], [-1.2011, -2.0796, 7.3356]], "species": ["Th", "Ru", "Th", "Se", "Se", "Th", "Au", "Se", "Ru", "Th", "Th", "Th"], "fractional_positions": [[0.5727, 0.9261, 0.7778], [0.3330, 0.6670, 0.0000], [0.4273, 0.0739, 0.2222], [0.5000, 0.5000, 0.5000], [0.8377, 0.1623, 0.5000], [0.2794, 0.2794, 0.7787], [0.0000, 0.0000, 0.0000], [0.1623, 0.8377, 0.5000], [0.6670, 0.3330, 0.0000], [0.9261, 0.5727, 0.7778], [0.7206, 0.7206, 0.2213], [0.0739, 0.4273, 0.2222]]}

3.
{"formula": "CsHoMg2Cl8", "functional": "PBE", "state": "relaxed", "density_g_cm3": 2.8, "space_group": "P-1, No. 2", "e_tot_ev_per_cell": -47.15, "raw_formation_energy_mev_per_atom": -1979, "cell": [[-0.9477, -6.4607, -1.1664], [1.2212, -3.2934, 5.7487], [-8.3036, -2.1337, 3.9069]], "species": ["Cl", "Cl", "Cl", "Cl", "Ho", "Cl", "Mg", "Cl", "Cl", "Cl", "Cs", "Mg"], "fractional_positions": [[0.6138, 0.6969, 0.4688], [0.3862, 0.3031, 0.5312], [0.7226, 0.7676, 0.0554], [0.2568, 0.7777, 0.8024], [0.0000, 0.0000, 0.0000], [0.8150, 0.2875, 0.7774], [0.5402, 0.5488, 0.2895], [0.7432, 0.2223, 0.1976], [0.2774, 0.2324, 0.9446], [0.1850, 0.7125, 0.2226], [0.0000, 0.0000, 0.5000], [0.4598, 0.4512, 0.7105]]}